Entry 1:
# CsHI2, optimized geometry, DFT PBE
# **Excess energy over the best structure of this formula in the dataset**: 0.007 eV per atom
data_CsHI2
_chemical_formula_sum 'Cs4 H4 I8'
_space_group_name_H-M_alt 'C 1 2 1'
_space_group_IT_number 5
_cell_length_a 12.287
_cell_length_b 6.367
_cell_length_c 11.459
_cell_angle_alpha 90.00
_cell_angle_beta 118.56
_cell_angle_gamma 90.00
loop_
_space_group_symop_operation_xyz
'x,y,z'
'-x,y,-z'
'x+1/2,y+1/2,z'
'-x+1/2,y+1/2,-z'
loop_
_atom_site_label
_atom_site_type_symbol
_atom_site_fract_x
_atom_site_fract_y
_atom_site_fract_z
Cs1 Cs 0.250 0.000 0.250
H1 H 0.000 0.250 0.250
I1 I 0.113 0.034 0.859
I2 I 0.113 0.466 0.359

---

Entry 2:
# Cs2InHI6, optimized geometry, DFT PBE
# **Electronic total energy**: -2.32 eV/atom
data_Cs2InHI6
_chemical_formula_sum 'Cs4 In2 H2 I12'
_space_group_name_H-M_alt 'I 4/m m m'
_space_group_IT_number 139
_space_group_name_Hall '-I 4 2'
_cell_length_a 7.959
_cell_length_b 7.959
_cell_length_c 12.947
_cell_angle_alpha 90.00
_cell_angle_beta 90.00
_cell_angle_gamma 90.00
loop_
_atom_site_label
_atom_site_type_symbol
_atom_site_fract_x
_atom_site_fract_y
_atom_site_fract_z
Cs1 Cs 0.000 0.500 0.250
In1 In 0.000 0.000 0.000
H1 H 0.000 0.000 0.500
I1 I 0.000 0.000 0.226
I2 I 0.233 0.233 0.500

---

Entry 3:
# CsK2HI, optimized geometry, DFT PBE
# **Electronic total energy**: -2.10 eV/atom
data_CsK2HI
_chemical_formula_sum 'Cs1 K2 H1 I1'
_space_group_name_H-M_alt 'P 4/m m m'
_space_group_IT_number 123
_space_group_name_Hall '-P 4 2'
_cell_length_a 5.647
_cell_length_b 5.647
_cell_length_c 6.867
_cell_angle_alpha 90.00
_cell_angle_beta 90.00
_cell_angle_gamma 90.00
loop_
_atom_site_label
_atom_site_type_symbol
_atom_site_fract_x
_atom_site_fract_y
_atom_site_fract_z
Cs1 Cs 0.000 0.000 0.000
K1 K 0.000 0.500 0.500
H1 H 0.000 0.000 0.500
I1 I 0.500 0.500 0.000

---

Entry 4:
# CsKHI3, optimized geometry, DFT PBE
# **Electronic total energy**: -2.65 eV/atom
data_CsKHI3
_chemical_formula_sum 'Cs4 K4 H4 I12'
_space_group_name_H-M_alt 'C m c m'
_space_group_IT_number 63
_space_group_name_Hall '-C 2c 2'
_cell_length_a 5.368
_cell_length_b 18.269
_cell_length_c 11.758
_cell_angle_alpha 90.00
_cell_angle_beta 90.00
_cell_angle_gamma 90.00
loop_
_atom_site_label
_atom_site_type_symbol
_atom_site_fract_x
_atom_site_fract_y
_atom_site_fract_z
Cs1 Cs 0.000 0.237 0.250
K1 K 0.000 0.500 0.000
H1 H 0.000 0.126 0.750
I1 I 0.000 0.130 0.586
I2 I 0.000 0.406 0.750

---

Entry 5:
# Cs2LiHI6, optimized geometry, DFT PBE
# **Electronic total energy**: -2.20 eV/atom
data_Cs2LiHI6
_chemical_formula_sum 'Cs4 Li2 H2 I12'
_space_group_name_H-M_alt 'I 4/m m m'
_space_group_IT_number 139
_space_group_name_Hall '-I 4 2'
_cell_length_a 7.774
_cell_length_b 7.774
_cell_length_c 13.484
_cell_angle_alpha 90.00
_cell_angle_beta 90.00
_cell_angle_gamma 90.00
loop_
_atom_site_label
_atom_site_type_symbol
_atom_site_fract_x
_atom_site_fract_y
_atom_site_fract_z
Cs1 Cs 0.000 0.500 0.250
Li1 Li 0.000 0.000 0.000
H1 H 0.000 0.000 0.500
I1 I 0.000 0.000 0.205
I2 I 0.219 0.219 0.500

---

Entry 6:
# Cs2MgHI6, optimized geometry, DFT PBE
# **Electronic total energy**: -2.28 eV/atom
data_Cs2MgHI6
_chemical_formula_sum 'Cs4 Mg2 H2 I12'
_space_group_name_H-M_alt 'I 4/m m m'
_space_group_IT_number 139
_space_group_name_Hall '-I 4 2'
_cell_length_a 7.812
_cell_length_b 7.812
_cell_length_c 13.475
_cell_angle_alpha 90.00
_cell_angle_beta 90.00
_cell_angle_gamma 90.00
loop_
_atom_site_label
_atom_site_type_symbol
_atom_site_fract_x
_atom_site_fract_y
_atom_site_fract_z
Cs1 Cs 0.000 0.500 0.250
Mg1 Mg 0.000 0.000 0.000
H1 H 0.000 0.000 0.500
I1 I 0.000 0.000 0.210
I2 I 0.227 0.227 0.500

---

Entry 7:
# Cs2MnHI6, optimized geometry, DFT PBE
# **Electronic total energy**: -2.93 eV/atom
data_Cs2MnHI6
_chemical_formula_sum 'Cs4 Mn2 H2 I12'
_space_group_name_H-M_alt 'I 4/m m m'
_space_group_IT_number 139
_space_group_name_Hall '-I 4 2'
_cell_length_a 7.943
_cell_length_b 7.943
_cell_length_c 12.144
_cell_angle_alpha 90.00
_cell_angle_beta 90.00
_cell_angle_gamma 90.00
loop_
_atom_site_label
_atom_site_type_symbol
_atom_site_fract_x
_atom_site_fract_y
_atom_site_fract_z
Cs1 Cs 0.000 0.500 0.250
Mn1 Mn 0.000 0.000 0.000
H1 H 0.000 0.000 0.500
I1 I 0.000 0.000 0.222
I2 I 0.247 0.247 0.000

---

Entry 8:
# Cs2MoHI6, optimized geometry, DFT PBE
# **Electronic total energy**: -3.02 eV/atom
data_Cs2MoHI6
_chemical_formula_sum 'Cs4 Mo2 H2 I12'
_space_group_name_H-M_alt 'I 4/m m m'
_space_group_IT_number 139
_space_group_name_Hall '-I 4 2'
_cell_length_a 8.270
_cell_length_b 8.270
_cell_length_c 11.771
_cell_angle_alpha 90.00
_cell_angle_beta 90.00
_cell_angle_gamma 90.00
loop_
_atom_site_label
_atom_site_type_symbol
_atom_site_fract_x
_atom_site_fract_y
_atom_site_fract_z
Cs1 Cs 0.000 0.500 0.250
Mo1 Mo 0.000 0.000 0.000
H1 H 0.000 0.000 0.500
I1 I 0.000 0.000 0.237
I2 I 0.239 0.239 0.000

---

Entry 9:
# CsHI2N, optimized geometry, DFT PBE
# **Excess energy over the best structure of this formula in the dataset**: 0.000 eV per atom
data_CsHI2N
_chemical_formula_sum 'Cs1 H1 I2 N1'
_space_group_name_H-M_alt 'P 4/m m m'
_space_group_IT_number 123
_space_group_name_Hall '-P 4 2'
_cell_length_a 7.019
_cell_length_b 7.019
_cell_length_c 3.195
_cell_angle_alpha 90.00
_cell_angle_beta 90.00
_cell_angle_gamma 90.00
loop_
_atom_site_label
_atom_site_type_symbol
_atom_site_fract_x
_atom_site_fract_y
_atom_site_fract_z
Cs1 Cs 0.000 0.000 0.000
H1 H 0.500 0.500 0.500
I1 I 0.000 0.500 0.500
N1 N 0.500 0.500 0.000

---

Entry 10:
# Cs2HI6N, optimized geometry, DFT PBE
# **Electronic total energy**: -2.27 eV/atom
data_Cs2HI6N
_chemical_formula_sum 'Cs4 H2 I12 N2'
_space_group_name_H-M_alt 'I 4/m m m'
_space_group_IT_number 139
_space_group_name_Hall '-I 4 2'
_cell_length_a 7.357
_cell_length_b 7.357
_cell_length_c 13.273
_cell_angle_alpha 90.00
_cell_angle_beta 90.00
_cell_angle_gamma 90.00
loop_
_atom_site_label
_atom_site_type_symbol
_atom_site_fract_x
_atom_site_fract_y
_atom_site_fract_z
Cs1 Cs 0.000 0.500 0.250
H1 H 0.000 0.000 0.000
I1 I 0.000 0.000 0.304
I2 I 0.246 0.246 0.000
N1 N 0.000 0.000 0.500

---

Entry 11:
# CsHI2N, optimized geometry, DFT PBE
# **Excess energy over the best structure of this formula in the dataset**: 1.015 eV per atom
data_CsHI2N
_chemical_formula_sum 'Cs1 H1 I2 N1'
_space_group_name_H-M_alt 'P 4/m m m'
_space_group_IT_number 123
_space_group_name_Hall '-P 4 2'
_cell_length_a 7.823
_cell_length_b 7.823
_cell_length_c 4.712
_cell_angle_alpha 90.00
_cell_angle_beta 90.00
_cell_angle_gamma 90.00
loop_
_atom_site_label
_atom_site_type_symbol
_atom_site_fract_x
_atom_site_fract_y
_atom_site_fract_z
Cs1 Cs 0.000 0.000 0.000
H1 H 0.500 0.500 0.500
I1 I 0.000 0.500 0.000
N1 N 0.000 0.000 0.500

---

Entry 12:
# CsHIN2, optimized geometry, DFT PBE
# **Excess energy over the best structure of this formula in the dataset**: 0.000 eV per atom
data_CsHIN2
_chemical_formula_sum 'Cs1 H1 I1 N2'
_space_group_name_H-M_alt 'P 4/m m m'
_space_group_IT_number 123
_space_group_name_Hall '-P 4 2'
_cell_length_a 5.480
_cell_length_b 5.480
_cell_length_c 3.947
_cell_angle_alpha 90.00
_cell_angle_beta 90.00
_cell_angle_gamma 90.00
loop_
_atom_site_label
_atom_site_type_symbol
_atom_site_fract_x
_atom_site_fract_y
_atom_site_fract_z
Cs1 Cs 0.000 0.000 0.000
H1 H 0.500 0.500 0.500
I1 I 0.500 0.500 0.000
N1 N 0.000 0.500 0.500